{
  "formula": "LiTm2InTe4",
  "functional": "PBE",
  "state": "relaxed",
  "lattice": [[2.1956, -7.3367, 0.0000], [2.1956, 7.3367, 0.0000], [0.0000, 0.0000, 15.5089]],
  "species": ["Li", "Li", "Tm", "Tm", "Tm", "Tm", "In", "In", "Te", "Te", "Te", "Te", "Te", "Te", "Te", "Te"],
  "fractional_positions": [[0.1642, 0.8358, 0.7500], [0.8358, 0.1642, 0.2500], [0.3664, 0.6336, 0.0647], [0.3664, 0.6336, 0.4353], [0.6336, 0.3664, 0.5647], [0.6336, 0.3664, 0.9353], [0.1130, 0.8870, 0.2500], [0.8870, 0.1130, 0.7500], [0.0000, 0.0000, 0.0000], [0.0000, 0.0000, 0.5000], [0.2699, 0.7301, 0.6092], [0.2699, 0.7301, 0.8908], [0.4415, 0.5585, 0.2500], [0.5585, 0.4415, 0.7500], [0.7301, 0.2699, 0.1092], [0.7301, 0.2699, 0.3908]],
  "sg": "Cmcm",
  "crystal_system": "orthorhombic",
  "formation_energy_uncorrected_ev_per_atom": -1.06,
  "total_magnetization_mub_per_atom": 0.00
}